! TcAg2Pb | the Alexandria database | PBE | optimized geometry; values from VASP
! Fermi-level density of states, states/eV per cell: 2.23
! Formation energy from the elements, eV per atom: 0.49
! Total DFT energy (no corrections), Ry per atom: -0.3273
&SYSTEM
  ibrav = 0, nat = 4, ntyp = 3
/
ATOMIC_SPECIES
Ag 107.87 Ag.upf
Pb 207.20 Pb.upf
Tc 98.00 Tc.upf
CELL_PARAMETERS angstrom
-3.265 -0.903 -0.689
1.400 -4.000 -1.390
-0.472 -1.729 4.501
ATOMIC_POSITIONS crystal
Ag 0.000 0.000 0.000
Ag 0.500 0.500 0.000
Pb 0.500 0.000 0.500
Tc 0.000 0.500 0.500

***

! Tc2AgPb | the Alexandria database | PBE | optimized geometry; values from VASP
! Fermi-level density of states, states/eV per cell: 7.55
! Formation energy from the elements, eV per atom: 1.14
! Total DFT energy (no corrections), Ry per atom: -0.4176
&SYSTEM
  ibrav = 0, nat = 8, ntyp = 3
/
ATOMIC_SPECIES
Pb 207.20 Pb.upf
Tc 98.00 Tc.upf
Ag 107.87 Ag.upf
CELL_PARAMETERS angstrom
7.625 0.000 0.000
0.000 7.625 0.000
3.812 3.812 2.692
ATOMIC_POSITIONS crystal
Pb 0.000 0.000 0.000
Pb 0.750 0.250 0.500
Tc 0.626 0.125 0.250
Tc 0.124 0.625 0.250
Tc 0.375 0.374 0.750
Tc 0.875 0.876 0.750
Ag 0.500 0.500 0.000
Ag 0.250 0.750 0.500

***

! TcAgPb2 | the Alexandria database | PBE | optimized geometry; values from VASP
! Excess energy over the best structure of this formula in the dataset, kJ per mole of atoms: 10.8
! Fermi-level density of states, states/eV per cell: 3.18
! Formation energy from the elements, eV per atom: 0.57
! Total DFT energy (no corrections), Ry per atom: -0.3372
&SYSTEM
  ibrav = 0, nat = 4, ntyp = 3
/
ATOMIC_SPECIES
Ag 107.87 Ag.upf
Pb 207.20 Pb.upf
Tc 98.00 Tc.upf
CELL_PARAMETERS angstrom
-8.182 6.766 2.394
-8.620 4.668 4.728
-6.550 7.040 5.097
ATOMIC_POSITIONS crystal
Ag 0.760 0.760 0.760
Pb 0.013 0.013 0.013
Pb 0.233 0.233 0.233
Tc 0.495 0.495 0.495

***

! Tc2AgPb | the Alexandria database | PBE | optimized geometry; values from VASP
! Fermi-level density of states, states/eV per cell: 3.50
! Formation energy from the elements, eV per atom: 0.72
! Total DFT energy (no corrections), Ry per atom: -0.4484
&SYSTEM
  ibrav = 0, nat = 4, ntyp = 3
/
ATOMIC_SPECIES
Ag 107.87 Ag.upf
Pb 207.20 Pb.upf
Tc 98.00 Tc.upf
CELL_PARAMETERS angstrom
-3.954 1.828 2.002
-1.340 -2.782 -0.106
1.768 -1.151 4.542
ATOMIC_POSITIONS crystal
Ag 0.500 0.250 0.250
Pb 0.500 0.750 0.750
Tc 0.000 0.922 0.037
Tc 0.000 0.578 0.463

***

! TcAg2Pb | the Alexandria database | PBE | optimized geometry; values from VASP
! Fermi-level density of states, states/eV per cell: 4.25
! Formation energy from the elements, eV per atom: 0.59
! Total DFT energy (no corrections), Ry per atom: -0.3204
&SYSTEM
  ibrav = 0, nat = 4, ntyp = 3
/
ATOMIC_SPECIES
Ag 107.87 Ag.upf
Pb 207.20 Pb.upf
Tc 98.00 Tc.upf
CELL_PARAMETERS angstrom
10.048 -0.013 -0.008
9.595 2.984 -0.008
9.595 1.451 2.608
ATOMIC_POSITIONS crystal
Ag 0.008 0.008 0.008
Ag 0.492 0.492 0.492
Pb 0.250 0.250 0.250
Tc 0.750 0.750 0.750

***

! Tc2AgPb | the Alexandria database | PBE | optimized geometry; values from VASP
! Fermi-level density of states, states/eV per cell: 2.72
! Formation energy from the elements, eV per atom: 0.60
! Total DFT energy (no corrections), Ry per atom: -0.4573
&SYSTEM
  ibrav = 0, nat = 4, ntyp = 3
/
ATOMIC_SPECIES
Ag 107.87 Ag.upf
Pb 207.20 Pb.upf
Tc 98.00 Tc.upf
CELL_PARAMETERS angstrom
4.616 -0.041 -0.006
3.519 2.987 -0.006
0.942 0.341 5.471
ATOMIC_POSITIONS crystal
Ag 0.489 0.489 0.522
Pb 0.256 0.256 0.244
Tc 0.021 0.021 0.934
Tc 0.734 0.734 0.800

***

! TcAg2Pb | the Alexandria database | PBE | optimized geometry; values from VASP
! Fermi-level density of states, states/eV per cell: 3.14
! Formation energy from the elements, eV per atom: 0.57
! Total DFT energy (no corrections), Ry per atom: -0.3218
&SYSTEM
  ibrav = 0, nat = 4, ntyp = 3
/
ATOMIC_SPECIES
Ag 107.87 Ag.upf
Pb 207.20 Pb.upf
Tc 98.00 Tc.upf
CELL_PARAMETERS angstrom
2.934 0.018 0.000
-0.018 2.934 0.000
0.000 0.000 9.198
ATOMIC_POSITIONS crystal
Ag 0.000 0.000 0.967
Ag 0.000 0.000 0.533
Pb 0.500 0.500 0.250
Tc 0.500 0.500 0.750

***

! TcAgPb2 | the Alexandria database | PBE | optimized geometry; values from VASP
! Excess energy over the best structure of this formula in the dataset, kJ per mole of atoms: 7.0
! Fermi-level density of states, states/eV per cell: 1.90
! Formation energy from the elements, eV per atom: 0.53
! Total DFT energy (no corrections), Ry per atom: -0.3402
&SYSTEM
  ibrav = 0, nat = 4, ntyp = 3
/
ATOMIC_SPECIES
Ag 107.87 Ag.upf
Pb 207.20 Pb.upf
Tc 98.00 Tc.upf
CELL_PARAMETERS angstrom
3.531 0.000 0.000
0.000 3.531 0.000
0.000 0.000 7.233
ATOMIC_POSITIONS crystal
Ag 0.500 0.500 0.722
Pb 0.000 0.000 0.946
Pb 0.500 0.500 0.315
Tc 0.000 0.000 0.517